(1)
Material: Ho2O3
Method: DFT, GGA-PBE
State: relaxed

a b c (Å): 3.765 3.765 5.524
angles (deg): 90.00 90.00 90.00
Atoms (fractional coordinates):
O 0.500 0.500 0.000
Ho 0.500 0.000 0.789
O 0.000 0.000 0.000
Ho 0.000 0.500 0.211
O 0.000 0.000 0.500

Its space group is P-4m2. The calculated total energy comes out at -8.16 eV per atom.

***

(2)
Material: Ho2O3
Method: DFT, GGA-PBE
State: relaxed

a b c (Å): 3.655 3.655 5.859
angles (deg): 90.00 90.00 120.00
Atoms (fractional coordinates):
O 0.667 0.333 0.646
O 0.333 0.667 0.354
O 0.000 0.000 0.000
Ho 0.333 0.667 0.750
Ho 0.667 0.333 0.250

Its space group is P-3m1. The calculated total energy comes out at -8.35 eV per atom.

***

(3)
Material: HoO5
Method: DFT, GGA-PBE
State: relaxed

a b c (Å): 3.643 3.640 9.505
angles (deg): 103.32 90.00 120.03
Last column: magnetic moment on the atom in μB.
Atoms (fractional coordinates):
O 0.922 0.844 0.348  0.48
O 0.710 0.420 0.268  0.34
O 0.514 0.027 0.748  0.79
O 0.310 0.620 0.055  0.03
O 0.377 0.754 0.628  0.83
Ho 0.001 0.002 0.121  0.02

Its space group is Cm. The calculated total energy comes out at -6.18 eV per atom.

***

(4)
Material: Ho6OsO12
Method: DFT, GGA-PBE
State: relaxed

a b c (Å): 6.447 6.447 6.447
angles (deg): 98.69 98.69 98.69
Last column: magnetic moment on the atom in μB.
Atoms (fractional coordinates):
O 0.433 0.591 0.177  0.00
O 0.591 0.177 0.433  0.00
O 0.567 0.409 0.823  0.00
O 0.964 0.297 0.075  0.07
O 0.075 0.964 0.297  0.07
Os 0.000 0.000 0.000  1.35
O 0.925 0.036 0.703  0.07
O 0.177 0.433 0.591  0.00
O 0.823 0.567 0.409  0.00
O 0.036 0.703 0.925  0.07
Ho 0.144 0.611 0.315  0.02
Ho 0.685 0.856 0.389  0.02
Ho 0.389 0.685 0.856  0.02
O 0.703 0.925 0.036  0.07
Ho 0.856 0.389 0.685  0.02
O 0.297 0.075 0.964  0.07
Ho 0.315 0.144 0.611  0.02
Ho 0.611 0.315 0.144  0.02
O 0.409 0.823 0.567  0.00

Its space group is R-3. The calculated total energy comes out at -8.25 eV per atom.

***

(5)
Material: Ho4OsO10
Method: DFT, GGA-PBE
State: relaxed

a b c (Å): 5.301 6.453 6.453
angles (deg): 80.29 65.75 65.75
Last column: magnetic moment on the atom in μB.
Atoms (fractional coordinates):
Ho 0.804 0.599 0.794  0.03
Ho 0.196 0.401 0.206  0.03
Os 0.000 0.000 0.000  1.26
Ho 0.597 0.206 0.599  0.03
O 0.593 0.084 0.276  0.17
O 0.323 0.724 0.084  0.17
O 0.046 0.084 0.276  0.17
O 0.130 0.276 0.916  0.17
Ho 0.403 0.794 0.401  0.03
O 0.750 0.500 0.500  0.09
O 0.677 0.276 0.916  0.17
O 0.407 0.916 0.724  0.17
O 0.250 0.500 0.500  0.09
O 0.870 0.724 0.084  0.17
O 0.954 0.916 0.724  0.17

Its space group is I4/m. The calculated total energy comes out at -7.74 eV per atom.

***

(6)
Material: HoOs2O8
Method: DFT, GGA-PBE
State: relaxed

a b c (Å): 6.256 6.132 6.132
angles (deg): 120.00 90.00 90.00
Last column: magnetic moment on the atom in μB.
Atoms (fractional coordinates):
O 0.695 0.824 0.648  0.11
Os 0.798 0.667 0.333  0.77
Os 0.202 0.333 0.667  0.77
O 0.305 0.176 0.352  0.11
Ho 0.500 0.000 0.000  0.10
O 0.305 0.176 0.824  0.11
O 0.695 0.824 0.176  0.11
O 0.924 0.333 0.667  0.13
O 0.695 0.352 0.176  0.11
O 0.305 0.648 0.824  0.11
O 0.076 0.667 0.333  0.13

Its space group is P-3m1. The calculated total energy comes out at -7.52 eV per atom.